1.
# PBE-GGA KInPbAu2, optimized geometry
# Magnetic moment   0.000 μB/atom
# E_form   8.2 kJ/mol of atoms
# V   33.1 Å³ per atom
# E above lowest polymorph   308 meV/atom
# Uncorrected energy   -2.735 eV/atom
data_KInPbAu2
_cell_length_a 5.3643
_cell_length_b 5.3643
_cell_length_c 5.7478
_cell_angle_alpha 90.00
_cell_angle_beta 90.00
_cell_angle_gamma 90.00
_space_group_name_H-M_alt 'P 4/m m m'
_space_group_IT_number 123
_space_group_name_Hall '-P 4 2'
loop_
_atom_site_label
_atom_site_type_symbol
_atom_site_fract_x
_atom_site_fract_y
_atom_site_fract_z
K1 K 0.0000 0.0000 0.0000
In1 In 0.5000 0.5000 0.5000
Pb1 Pb 0.5000 0.5000 0.0000
Au1 Au 0.0000 0.5000 0.5000

2.
# PBE-GGA KInPbAu3, optimized geometry
# Magnetic moment   0.000 μB/atom
# E_form   -19.1 kJ/mol of atoms
# V   27.2 Å³ per atom
# Uncorrected energy   -3.094 eV/atom
data_KInPbAu3
_cell_length_a 6.7074
_cell_length_b 15.3627
_cell_length_c 6.7522
_cell_angle_alpha 90.00
_cell_angle_beta 110.45
_cell_angle_gamma 90.00
_space_group_name_H-M_alt 'C 1 2/c 1'
_space_group_IT_number 15
_space_group_name_Hall '-C 2yc'
loop_
_atom_site_label
_atom_site_type_symbol
_atom_site_fract_x
_atom_site_fract_y
_atom_site_fract_z
K1 K 0.0000 0.2107 0.2500
In1 In 0.0000 0.4640 0.2500
Pb1 Pb 0.0000 0.0226 0.7500
Au1 Au 0.0000 0.2135 0.7500
Au2 Au 0.1402 0.3719 0.9600

3.
# PBE-GGA K2In4Pb3Au, optimized geometry
# Magnetic moment   0.000 μB/atom
# E_form   -10.6 kJ/mol of atoms
# V   32.9 Å³ per atom
# Uncorrected energy   -2.864 eV/atom
data_K2In4Pb3Au
_cell_length_a 5.1127
_cell_length_b 5.1127
_cell_length_c 12.5901
_cell_angle_alpha 90.00
_cell_angle_beta 90.00
_cell_angle_gamma 90.00
_space_group_name_H-M_alt 'P -4 m 2'
_space_group_IT_number 115
_space_group_name_Hall 'P -4 -2'
loop_
_atom_site_label
_atom_site_type_symbol
_atom_site_fract_x
_atom_site_fract_y
_atom_site_fract_z
K1 K 0.0000 0.5000 0.2373
In1 In 0.0000 0.0000 0.5000
In2 In 0.0000 0.5000 0.8824
In3 In 0.5000 0.5000 0.5000
Pb1 Pb 0.0000 0.0000 0.0000
Pb2 Pb 0.0000 0.5000 0.6419
Au1 Au 0.5000 0.5000 0.0000

4.
# PBE-GGA KInPbAu2, optimized geometry
# Magnetic moment   0.000 μB/atom
# E_form   -21.5 kJ/mol of atoms
# V   28.4 Å³ per atom
# E above lowest polymorph   0 meV/atom
# Uncorrected energy   -3.043 eV/atom
data_KInPbAu2
_cell_length_a 4.8725
_cell_length_b 4.8725
_cell_length_c 11.9551
_cell_angle_alpha 90.00
_cell_angle_beta 90.00
_cell_angle_gamma 90.00
_space_group_name_H-M_alt 'I -4 m 2'
_space_group_IT_number 119
_space_group_name_Hall 'I -4 -2'
loop_
_atom_site_label
_atom_site_type_symbol
_atom_site_fract_x
_atom_site_fract_y
_atom_site_fract_z
K1 K 0.0000 0.0000 0.0000
In1 In 0.0000 0.5000 0.2500
Pb1 Pb 0.0000 0.5000 0.7500
Au1 Au 0.0000 0.0000 0.3843

5.
# PBE-GGA K2In3PbAu4, optimized geometry
# Magnetic moment   0.000 μB/atom
# E_form   -26.6 kJ/mol of atoms
# V   27.8 Å³ per atom
# Uncorrected energy   -2.998 eV/atom
data_K2In3PbAu4
_cell_length_a 5.0946
_cell_length_b 5.0946
_cell_length_c 10.7037
_cell_angle_alpha 90.00
_cell_angle_beta 90.00
_cell_angle_gamma 90.00
_space_group_name_H-M_alt 'P -4 m 2'
_space_group_IT_number 115
_space_group_name_Hall 'P -4 -2'
loop_
_atom_site_label
_atom_site_type_symbol
_atom_site_fract_x
_atom_site_fract_y
_atom_site_fract_z
K1 K 0.0000 0.5000 0.2374
In1 In 0.0000 0.5000 0.8877
In2 In 0.5000 0.5000 0.5000
Pb1 Pb 0.0000 0.0000 0.5000
Au1 Au 0.0000 0.0000 0.0000
Au2 Au 0.0000 0.5000 0.6296
Au3 Au 0.5000 0.5000 0.0000

6.
# PBE-GGA KIn2PdAu, optimized geometry
# Magnetic moment   0.000 μB/atom
# E_form   -17.4 kJ/mol of atoms
# V   28.8 Å³ per atom
# Uncorrected energy   -3.189 eV/atom
data_KIn2PdAu
_cell_length_a 5.1414
_cell_length_b 5.1414
_cell_length_c 5.4532
_cell_angle_alpha 90.00
_cell_angle_beta 90.00
_cell_angle_gamma 90.00
_space_group_name_H-M_alt 'P 4/m m m'
_space_group_IT_number 123
_space_group_name_Hall '-P 4 2'
loop_
_atom_site_label
_atom_site_type_symbol
_atom_site_fract_x
_atom_site_fract_y
_atom_site_fract_z
K1 K 0.0000 0.0000 0.0000
In1 In 0.0000 0.5000 0.5000
Pd1 Pd 0.5000 0.5000 0.5000
Au1 Au 0.5000 0.5000 0.0000

7.
# PBE-GGA KInPdAu2, optimized geometry
# Magnetic moment   0.000 μB/atom
# E_form   115.7 kJ/mol of atoms
# V   36.6 Å³ per atom
# Uncorrected energy   -1.918 eV/atom
data_KInPdAu2
_cell_length_a 5.5541
_cell_length_b 5.5541
_cell_length_c 5.9363
_cell_angle_alpha 90.00
_cell_angle_beta 90.00
_cell_angle_gamma 90.00
_space_group_name_H-M_alt 'P 4/m m m'
_space_group_IT_number 123
_space_group_name_Hall '-P 4 2'
loop_
_atom_site_label
_atom_site_type_symbol
_atom_site_fract_x
_atom_site_fract_y
_atom_site_fract_z
K1 K 0.0000 0.0000 0.0000
In1 In 0.0000 0.0000 0.5000
Pd1 Pd 0.5000 0.5000 0.5000
Au1 Au 0.0000 0.5000 0.0000

8.
# PBE-GGA K2In4PdAu3, optimized geometry
# Magnetic moment   0.000 μB/atom
# E_form   -30.1 kJ/mol of atoms
# V   26.5 Å³ per atom
# Uncorrected energy   -3.130 eV/atom
data_K2In4PdAu3
_cell_length_a 4.9423
_cell_length_b 4.9423
_cell_length_c 10.8286
_cell_angle_alpha 90.00
_cell_angle_beta 90.00
_cell_angle_gamma 90.00
_space_group_name_H-M_alt 'P -4 m 2'
_space_group_IT_number 115
_space_group_name_Hall 'P -4 -2'
loop_
_atom_site_label
_atom_site_type_symbol
_atom_site_fract_x
_atom_site_fract_y
_atom_site_fract_z
K1 K 0.0000 0.5000 0.2382
In1 In 0.0000 0.0000 0.5000
In2 In 0.0000 0.5000 0.8863
In3 In 0.5000 0.5000 0.5000
Pd1 Pd 0.5000 0.5000 0.0000
Au1 Au 0.0000 0.0000 0.0000
Au2 Au 0.0000 0.5000 0.6300

9.
# PBE-GGA K2In4PtAu3, optimized geometry
# Magnetic moment   0.000 μB/atom
# E_form   -30.1 kJ/mol of atoms
# V   26.4 Å³ per atom
# Uncorrected energy   -3.214 eV/atom
data_K2In4PtAu3
_cell_length_a 4.9364
_cell_length_b 4.9364
_cell_length_c 10.8252
_cell_angle_alpha 90.00
_cell_angle_beta 90.00
_cell_angle_gamma 90.00
_space_group_name_H-M_alt 'P -4 m 2'
_space_group_IT_number 115
_space_group_name_Hall 'P -4 -2'
loop_
_atom_site_label
_atom_site_type_symbol
_atom_site_fract_x
_atom_site_fract_y
_atom_site_fract_z
K1 K 0.0000 0.5000 0.2365
In1 In 0.0000 0.0000 0.5000
In2 In 0.0000 0.5000 0.8865
In3 In 0.5000 0.5000 0.5000
Pt1 Pt 0.5000 0.5000 0.0000
Au1 Au 0.0000 0.0000 0.0000
Au2 Au 0.0000 0.5000 0.6300

10.
# PBE-GGA KIn2PtAu, optimized geometry
# Magnetic moment   0.000 μB/atom
# E_form   -23.6 kJ/mol of atoms
# V   29.0 Å³ per atom
# Uncorrected energy   -3.423 eV/atom
data_KIn2PtAu
_cell_length_a 5.1427
_cell_length_b 5.1427
_cell_length_c 5.4813
_cell_angle_alpha 90.00
_cell_angle_beta 90.00
_cell_angle_gamma 90.00
_space_group_name_H-M_alt 'P 4/m m m'
_space_group_IT_number 123
_space_group_name_Hall '-P 4 2'
loop_
_atom_site_label
_atom_site_type_symbol
_atom_site_fract_x
_atom_site_fract_y
_atom_site_fract_z
K1 K 0.0000 0.0000 0.0000
In1 In 0.0000 0.5000 0.5000
Pt1 Pt 0.5000 0.5000 0.5000
Au1 Au 0.5000 0.5000 0.0000

11.
# PBE-GGA K3Rb2In2Au4, optimized geometry
# Magnetic moment   0.000 μB/atom
# E_form   -20.3 kJ/mol of atoms
# V   37.3 Å³ per atom
# Uncorrected energy   -2.376 eV/atom
data_K3Rb2In2Au4
_cell_length_a 5.4435
_cell_length_b 5.4435
_cell_length_c 27.7240
_cell_angle_alpha 90.00
_cell_angle_beta 90.00
_cell_angle_gamma 90.00
_space_group_name_H-M_alt 'I 4/m m m'
_space_group_IT_number 139
_space_group_name_Hall '-I 4 2'
loop_
_atom_site_label
_atom_site_type_symbol
_atom_site_fract_x
_atom_site_fract_y
_atom_site_fract_z
K1 K 0.0000 0.0000 0.0000
K2 K 0.0000 0.0000 0.1456
Rb1 Rb 0.0000 0.0000 0.3148
In1 In 0.0000 0.0000 0.4462
Au1 Au 0.0000 0.5000 0.0814

12.
# PBE-GGA K2RbInAu2, optimized geometry
# Magnetic moment   0.000 μB/atom
# E_form   -22.6 kJ/mol of atoms
# V   34.0 Å³ per atom
# Uncorrected energy   -2.311 eV/atom
data_K2RbInAu2
_cell_length_a 5.2202
_cell_length_b 9.1343
_cell_length_c 8.5557
_cell_angle_alpha 90.00
_cell_angle_beta 90.00
_cell_angle_gamma 90.00
_space_group_name_H-M_alt 'P m c 21'
_space_group_IT_number 26
_space_group_name_Hall 'P 2c -2'
loop_
_atom_site_label
_atom_site_type_symbol
_atom_site_fract_x
_atom_site_fract_y
_atom_site_fract_z
K1 K 0.0000 0.0907 0.0000
K2 K 0.5000 0.1659 0.3341
Rb1 Rb 0.5000 0.4396 0.9951
In1 In 0.0000 0.3071 0.6371
Au1 Au 0.0000 0.4026 0.2950
Au2 Au 0.5000 0.1832 0.7059